*a*
Material: SrHfSe2N
Method: DFT, PBE
State: relaxed

```
SrHfSe2N
1.0
-3.960 1.594 3.473
-2.788 -4.625 -1.056
2.004 -1.932 3.171
Se N Hf Sr
2 1 1 1
direct
0.500 0.000 0.000
0.000 0.500 0.000
0.000 0.000 0.500
0.500 0.500 0.500
0.000 0.000 0.000
```

## Properties
DOS(E_F)	6.216	states/eV per cell
symmetry	P4/mmm (123)

---

*b*
Material: SrHfSe2N
Method: DFT, PBE
State: relaxed

```
SrHfSe2N
1.0
5.330 0.000 0.000
0.000 5.330 0.000
0.000 0.000 4.147
Se N Sr Hf
2 1 1 1
direct
0.000 0.500 0.000
0.500 0.000 0.000
0.000 0.000 0.500
0.500 0.500 0.500
0.000 0.000 0.000
```

## Properties
DOS(E_F)	2.563	states/eV per cell
symmetry	P4/mmm (123)

---

What should be chosen as the most stable of them? Choose *b*.

---

*a*
Material: HfTaSe2N
Method: DFT, PBE
State: relaxed

```
HfTaSe2N
1.0
-1.428 4.365 -2.264
-3.432 -2.573 -2.796
-2.646 0.554 2.737
Hf Se Ta N
1 2 1 1
direct
0.500 0.500 0.500
0.500 0.000 0.000
0.000 0.500 0.000
0.000 0.000 0.000
0.000 0.000 0.500
```

## Properties
DOS(E_F)	2.636	states/eV per cell
symmetry	P4/mmm (123)

---

*b*
Material: HfTaSe2N
Method: DFT, PBE
State: relaxed

```
HfTaSe2N
1.0
-0.304 3.546 3.817
-4.915 -1.462 0.967
1.292 -2.648 2.563
Se Ta N Hf
2 1 1 1
direct
0.000 0.500 0.000
0.500 0.000 0.000
0.500 0.500 0.500
0.000 0.000 0.500
0.000 0.000 0.000
```

## Properties
DOS(E_F)	5.126	states/eV per cell
symmetry	P4/mmm (123)

---

What should be chosen as the most stable of them? Choose *a*.